# PBE-GGA AcSc2In2Ag2, optimized geometry
data_AcSc2In2Ag2
_cell_length_a 4.8035
_cell_length_b 4.8035
_cell_length_c 26.6816
_cell_angle_alpha 90.00
_cell_angle_beta 90.00
_cell_angle_gamma 120.00
_symmetry_space_group_name_H-M 'R -3 m'
_symmetry_Int_Tables_number 166
_symmetry_space_group_name_Hall '-R 3 2"'
loop_
_atom_site_label
_atom_site_type_symbol
_atom_site_fract_x
_atom_site_fract_y
_atom_site_fract_z
_atom_site_occupancy
Ac1 Ac 0.0000 0.0000 0.0000 1
Sc1 Sc 0.0000 0.0000 0.1368 1
In1 In 0.0000 0.0000 0.2522 1
Ag1 Ag 0.0000 0.0000 0.4422 1
# - energy relative to the elements (eV per atom) = -0.3235
# - E (eV per atom) = -4.316


# PBE-GGA Sr3BP4, optimized geometry
data_Sr3BP4
_cell_length_a 4.5684
_cell_length_b 7.0127
_cell_length_c 12.0825
_cell_angle_alpha 90.00
_cell_angle_beta 90.00
_cell_angle_gamma 90.00
_symmetry_space_group_name_H-M 'I m m m'
_symmetry_Int_Tables_number 71
_symmetry_space_group_name_Hall '-I 2 2'
loop_
_atom_site_label
_atom_site_type_symbol
_atom_site_fract_x
_atom_site_fract_y
_atom_site_fract_z
_atom_site_occupancy
Sr1 Sr 0.0000 0.0000 0.0000 1
Sr2 Sr 0.0000 0.5000 0.2005 1
B1 B 0.0000 0.0000 0.5000 1
P1 P 0.0000 0.2361 0.4030 1
# - energy relative to the elements (eV per atom) = -0.5625
# - E (eV per atom) = -4.733